No. 1
# AsHIrSe2

A geometry-optimized AsHIrSe2 structure (GGA-PBE, the Alexandria database).

Lattice parameters (Å, degrees): 4.6074 4.6074 3.5156 90.00 90.00 90.00
Closest atoms and distances in Å follow each position.
Sites, in units of the cell vectors:
As (0.0000, 0.0000, 0.0000)  2 H 1.76
H (0.0000, 0.0000, 0.5000)  2 As 1.76
Ir (0.5000, 0.5000, 0.0000)  8 Se 2.90
Se (0.0000, 0.5000, 0.5000)  2 H 2.30
Se (0.5000, 0.0000, 0.5000)  2 H 2.30

Output
Final energy, eV per atom: -3.98
Polymorph energy (0 for the lowest one), kJ/mol of formula units: 0



No. 2
# CaMo2Pt

A geometry-optimized CaMo2Pt structure (GGA-PBE, the Alexandria database).

Lattice parameters (Å, degrees): 4.6035 4.6035 4.6035 60.00 60.00 60.00
Closest atoms and distances in Å follow each position.
Sites, in units of the cell vectors:
Ca (0.0000, 0.0000, 0.0000)  8 Mo 2.82
Mo (0.2500, 0.2500, 0.2500)  4 Ca 2.82, 4 Pt 2.82
Mo (0.7500, 0.7500, 0.7500)  4 Ca 2.82, 4 Pt 2.82
Pt (0.5000, 0.5000, 0.5000)  8 Mo 2.82

Output
Final energy, eV per atom: -6.78
Polymorph energy (0 for the lowest one), kJ/mol of formula units: 231
Calculated formation energy, eV/f.u.: 2.60



Q: Which value of polymorph energy (0 for the lowest one) does entry 2 give?
A: 231 kJ/mol of formula units



Please write out number 1 again, unchanged.
# AsHIrSe2

A geometry-optimized AsHIrSe2 structure (GGA-PBE, the Alexandria database).

Lattice parameters (Å, degrees): 4.6074 4.6074 3.5156 90.00 90.00 90.00
Closest atoms and distances in Å follow each position.
Sites, in units of the cell vectors:
As (0.0000, 0.0000, 0.0000)  2 H 1.76
H (0.0000, 0.0000, 0.5000)  2 As 1.76
Ir (0.5000, 0.5000, 0.0000)  8 Se 2.90
Se (0.0000, 0.5000, 0.5000)  2 H 2.30
Se (0.5000, 0.0000, 0.5000)  2 H 2.30

Output
Final energy, eV per atom: -3.98
Polymorph energy (0 for the lowest one), kJ/mol of formula units: 0